# KNaMg5Si12O30 (SCAN, single point on PBEsol structure)
data_KNaMg5Si12O30
_chemical_formula_sum 'K2 Na2 Mg10 Si24 O60'
_cell_length_a 10.209
_cell_length_b 10.209
_cell_length_c 14.346
_cell_angle_alpha 90.00
_cell_angle_beta 90.00
_cell_angle_gamma 120.00
_symmetry_space_group_name_H-M 'P 1'
_symmetry_Int_Tables_number 1
loop_
_symmetry_equiv_pos_as_xyz
'x,y,z'
loop_
_atom_site_label
_atom_site_type_symbol
_atom_site_fract_x
_atom_site_fract_y
_atom_site_fract_z
_atom_site_occupancy
O1 O 0.715 0.941 0.619 1
O2 O 0.732 0.787 0.387 1
O3 O 0.213 0.945 0.113 1
O4 O 0.225 0.285 0.881 1
O5 O 0.847 0.344 0.424 1
O6 O 0.497 0.153 0.076 1
O7 O 0.609 0.727 0.750 1
Si1 Si 0.648 0.883 0.139 1
O8 O 0.727 0.609 0.250 1
O9 O 0.497 0.153 0.424 1
Si2 Si 0.352 0.235 0.639 1
O10 O 0.500 0.840 0.420 1
Mg1 Mg 0.000 0.505 0.500 1
Si3 Si 0.646 0.760 0.640 1
O11 O 0.285 0.225 0.381 1
O12 O 0.840 0.500 0.920 1
O13 O 0.153 0.497 0.924 1
O14 O 0.118 0.391 0.750 1
O15 O 0.500 0.340 0.580 1
O16 O 0.660 0.160 0.920 1
Si4 Si 0.114 0.354 0.640 1
O17 O 0.147 0.746 0.250 1
O18 O 0.945 0.213 0.887 1
Si5 Si 0.760 0.646 0.140 1
O19 O 0.273 0.882 0.750 1
O20 O 0.059 0.775 0.619 1
Mg2 Mg 0.495 0.495 0.500 1
O21 O 0.853 0.599 0.750 1
O22 O 0.941 0.715 0.119 1
O23 O 0.746 0.147 0.750 1
O24 O 0.344 0.847 0.576 1
O25 O 0.285 0.225 0.119 1
O26 O 0.656 0.503 0.076 1
O27 O 0.732 0.787 0.113 1
O28 O 0.059 0.775 0.881 1
O29 O 0.840 0.500 0.580 1
Si6 Si 0.235 0.352 0.361 1
O30 O 0.160 0.660 0.080 1
Si7 Si 0.648 0.883 0.361 1
Si8 Si 0.886 0.240 0.360 1
Mg3 Mg 0.333 0.667 0.504 1
O31 O 0.268 0.055 0.887 1
O32 O 0.941 0.715 0.381 1
O33 O 0.599 0.853 0.250 1
O34 O 0.055 0.268 0.387 1
O35 O 0.268 0.055 0.613 1
O36 O 0.775 0.059 0.119 1
Si9 Si 0.240 0.886 0.640 1
O37 O 0.340 0.500 0.080 1
Si10 Si 0.760 0.646 0.360 1
Si11 Si 0.117 0.765 0.139 1
Mg4 Mg 0.000 0.505 0.000 1
O38 O 0.882 0.273 0.250 1
Si12 Si 0.354 0.114 0.140 1
Si13 Si 0.235 0.352 0.139 1
Si14 Si 0.646 0.760 0.860 1
O39 O 0.153 0.497 0.576 1
Si15 Si 0.354 0.114 0.360 1
Si16 Si 0.883 0.648 0.861 1
O40 O 0.340 0.500 0.420 1
Mg5 Mg 0.505 0.000 0.500 1
O41 O 0.503 0.656 0.576 1
O42 O 0.213 0.945 0.387 1
Si17 Si 0.765 0.117 0.639 1
Mg6 Mg 0.333 0.667 0.996 1
O43 O 0.787 0.732 0.887 1
Si18 Si 0.883 0.648 0.639 1
O44 O 0.503 0.656 0.924 1
Si19 Si 0.114 0.354 0.860 1
O45 O 0.391 0.118 0.250 1
Mg7 Mg 0.505 0.000 0.000 1
K1 K 0.000 0.000 0.500 1
O46 O 0.656 0.503 0.424 1
O47 O 0.500 0.340 0.920 1
O48 O 0.055 0.268 0.113 1
O49 O 0.945 0.213 0.613 1
Si20 Si 0.765 0.117 0.861 1
O50 O 0.775 0.059 0.381 1
Si21 Si 0.352 0.235 0.861 1
O51 O 0.254 0.401 0.250 1
Na1 Na 0.333 0.667 0.250 1
Mg8 Mg 0.495 0.495 0.000 1
K2 K 0.000 0.000 0.000 1
O52 O 0.787 0.732 0.613 1
O53 O 0.344 0.847 0.924 1
O54 O 0.660 0.160 0.580 1
Mg9 Mg 0.667 0.333 0.004 1
Mg10 Mg 0.667 0.333 0.496 1
Si22 Si 0.886 0.240 0.140 1
O55 O 0.847 0.344 0.076 1
O56 O 0.160 0.660 0.420 1
Si23 Si 0.240 0.886 0.860 1
O57 O 0.715 0.941 0.881 1
O58 O 0.401 0.254 0.750 1
O59 O 0.500 0.840 0.080 1
Na2 Na 0.667 0.333 0.750 1
Si24 Si 0.117 0.765 0.361 1
O60 O 0.225 0.285 0.619 1
# - Energy relative to the elements, uncorrected: -148.5 eV per formula unit
# - Spin magnetization: 0.00 μB per cell